The following is a PBE calculation of a geometry-optimized HfCoHg structure, from the Open Quantum Materials Database.

Cell: 6.1170 6.1170 6.1170 Å, 90.00 90.00 90.00°
With the nearest neighbours (Å) after each atom.
Space group F-43m (No. 216)
One atom of each set of equivalent atoms:
Hf (0.0000, 0.0000, 0.0000) [4 per cell]  4 Co 2.65
Co (0.2500, 0.2500, 0.2500) [4 per cell]  4 Hg 2.65, 4 Hf 2.65
Hg (0.0000, 0.0000, 0.5000) [4 per cell]  4 Co 2.65

- Formation energy from the elements: 0.32 eV/f.u.
- Offset from the most stable computed form: 0.0000 eV/atom
- M_tot: 0.01 μB per formula unit

---

The following is a PBE calculation of a geometry-optimized SmTmGa2Ag2 structure, from the Open Quantum Materials Database.

Cell: 4.6053 4.6053 7.0758 Å, 90.00 90.00 120.00°
With the nearest neighbours (Å) after each atom.
Space group P-6m2 (No. 187)
One atom of each set of equivalent atoms:
Sm (0.0000, 0.0000, 0.0000) [1 per cell]  6 Ag 3.21, 6 Ga 3.35, 2 Tm 3.54
Tm (0.0000, 0.0000, 0.5000) [1 per cell]  6 Ga 3.05, 6 Ag 3.18
Ga (0.6667, 0.3333, 0.2888) [2 per cell]  3 Ag 2.67, 1 Ga 2.99
Ag (0.3333, 0.6667, 0.2539) [2 per cell]  3 Ga 2.67

- Offset from the most stable computed form: 0.0000 eV/atom
- M_tot: 0.03 μB per formula unit

---

The following is a PBE calculation of a geometry-optimized KGdGeSe3 structure, from the Open Quantum Materials Database.

Cell: 4.4578 14.6602 11.3624 Å, 90.00 90.00 90.00°
With the nearest neighbours (Å) after each atom.
Space group Cmcm (No. 63)
One atom of each set of equivalent atoms:
K (0.0000, 0.2461, 0.2500) [4 per cell]  8 Se 3.46-3.81
Gd (0.0000, 0.5000, 0.0000) [4 per cell]  6 Se 2.96-3.00
Ge (0.0000, 0.0341, 0.7500) [4 per cell]  4 Se 2.66
Se (0.0000, 0.1274, 0.5487) [8 per cell]  1 Ge 2.66, 2 Gd 2.96
Se (0.0000, 0.4348, 0.7500) [4 per cell]  2 Ge 2.66

- Energy: -4.58 eV per atom
- M_tot: 0.00 μB per formula unit